The following is a DFT calculation (PBE) of an optimized crystal structure of AcPu3Co.

Computed properties:
space-group type = Pm-3m
N(E_F) = 23.7 states/eV/cell
total magnetization = 17.710 μB/f.u.
E_tot = -10.58 eV/atom
calculated formation energy = 0.26 eV per atom

```
AcPu3Co
1.0
5.288 0.000 0.000
0.000 5.288 0.000
0.000 0.000 5.288
Ac Pu Co
1 3 1
Cartesian
0.000 0.000 0.000
0.000 2.644 2.644
2.644 0.000 2.644
2.644 2.644 0.000
2.644 2.644 2.644
```